Below is a relaxed ScPPd crystal, with properties calculated at the PBE-GGA level.

abc: 3.811 3.534 7.500
angles: 76.38 90.00 90.00
Sites, in units of the cell vectors:
Sc: 0.250 0.102 0.796
Sc: 0.750 0.898 0.204
P: 0.250 0.455 0.090
P: 0.750 0.545 0.910
Pd: 0.750 0.706 0.589
Pd: 0.250 0.294 0.411

Values from the calculation:
Formation energy, eV per atom: -0.864

Below is a relaxed InAg4W crystal, with properties calculated at the PBE-GGA level.

abc: 5.447 5.447 5.447
angles: 60.00 60.00 60.00
Last column: magnetic moment on the atom in μB.
Sites, in units of the cell vectors:
In: 0.750 0.750 0.750  -0.06
Ag: 0.375 0.876 0.375  0.03
Ag: 0.876 0.375 0.375  0.03
Ag: 0.375 0.375 0.876  0.03
Ag: 0.375 0.375 0.375  0.03
W: 0.000 0.000 0.000  2.25

Values from the calculation:
Formation energy, eV per atom: 0.699

Below is a relaxed KBBr3 crystal, with properties calculated at the PBE-GGA level.

abc: 4.958 4.958 4.958
angles: 90.00 90.00 90.00
Sites, in units of the cell vectors:
K: 0.500 0.500 0.500
B: 0.000 0.000 0.000
Br: 0.000 0.500 0.000
Br: 0.000 0.000 0.500
Br: 0.500 0.000 0.000

Values from the calculation:
ΔE_f (raw), eV/atom: -0.282

Below is a relaxed K2LaRu crystal, with properties calculated at the PBE-GGA level.

abc: 7.185 7.185 7.185
angles: 144.93 144.93 50.44
Last column: magnetic moment on the atom in μB.
Sites, in units of the cell vectors:
K: 0.000 0.000 0.000  0.03
K: 0.500 0.500 0.000  0.03
La: 0.250 0.750 0.500  0.09
Ru: 0.750 0.250 0.500  -0.20

Values from the calculation:
Formation energy, eV per atom: 0.709

Below is a relaxed CuTc2Ni crystal, with properties calculated at the PBE-GGA level.

abc: 3.948 2.572 5.738
angles: 63.27 90.00 90.00
Sites, in units of the cell vectors:
Cu: 0.500 0.250 0.250
Ni: 0.500 0.750 0.750
Tc: 0.000 0.001 0.995
Tc: 0.000 0.499 0.505

Values from the calculation:
Formation energy, eV per atom: 0.145

Below is a relaxed RbNd3Br8 crystal, with properties calculated at the PBE-GGA level.

abc: 8.158 8.158 9.878
angles: 65.61 65.61 60.00
Last column: magnetic moment on the atom in μB.
Sites, in units of the cell vectors:
Rb: 0.500 0.500 0.500  0.00
Nd: 0.000 0.500 0.000  0.24
Nd: 0.500 0.000 0.000  0.24
Nd: 0.500 0.500 0.000  0.24
Br: 0.740 0.740 0.781  0.01
Br: 0.260 0.260 0.219  0.01
Br: 0.768 0.768 0.202  0.00
Br: 0.768 0.261 0.202  0.00
Br: 0.261 0.768 0.202  0.00
Br: 0.739 0.232 0.798  0.00
Br: 0.232 0.739 0.798  0.00
Br: 0.232 0.232 0.798  0.00

Values from the calculation:
ΔE_f (raw), eV/atom: -1.739

Below is a relaxed Cr2TcBr crystal, with properties calculated at the PBE-GGA level.

abc: 4.329 4.329 4.329
angles: 60.00 60.00 60.00
Last column: magnetic moment on the atom in μB.
Sites, in units of the cell vectors:
Br: 0.500 0.500 0.500  0.10
Cr: 0.000 0.000 0.000  2.41
Cr: 0.750 0.750 0.750  -1.45
Tc: 0.250 0.250 0.250  -0.24

Values from the calculation:
ΔE_f (raw), eV/atom: 0.916

Below is a relaxed CuSiW crystal, with properties calculated at the PBE-GGA level.

abc: 4.142 4.142 4.142
angles: 60.00 60.00 60.00
Sites, in units of the cell vectors:
Cu: 0.000 0.000 0.000
Si: 0.500 0.500 0.500
W: 0.750 0.750 0.750

Values from the calculation:
ΔE_f (raw), eV/atom: 0.698

Below is a relaxed TaNb3Te8 crystal, with properties calculated at the PBE-GGA level.

abc: 7.337 7.352 8.446
angles: 115.64 90.00 119.93
Sites, in units of the cell vectors:
Ta: 0.000 0.000 0.000
Nb: 0.500 0.000 0.000
Nb: 0.500 0.500 0.000
Nb: 0.000 0.500 0.000
Te: 0.249 0.499 0.746
Te: 0.751 0.501 0.254
Te: 0.248 0.999 0.747
Te: 0.750 0.999 0.747
Te: 0.750 0.500 0.747
Te: 0.250 0.500 0.253
Te: 0.250 0.001 0.253
Te: 0.752 0.001 0.253

Values from the calculation:
ΔE_f (raw), eV/atom: -0.405

Below is a relaxed AcTlZnAg crystal, with properties calculated at the PBE-GGA level.

abc: 5.258 5.258 5.258
angles: 60.00 60.00 60.00
Sites, in units of the cell vectors:
Zn: 0.750 0.750 0.750
Ac: 0.000 0.000 0.000
Tl: 0.500 0.500 0.500
Ag: 0.250 0.250 0.250

Values from the calculation:
Formation energy, eV per atom: -0.225

Below is a relaxed ErPuCdO6 crystal, with properties calculated at the PBE-GGA level.

abc: 4.728 5.695 5.695
angles: 120.00 90.00 90.00
Last column: magnetic moment on the atom in μB.
Sites, in units of the cell vectors:
Er: 0.500 0.667 0.333  -0.01
Pu: 0.500 0.000 0.000  1.40
Cd: 0.000 0.333 0.667  -0.01
O: 0.727 0.703 0.695  -0.06
O: 0.727 0.305 0.008  -0.06
O: 0.727 0.992 0.297  -0.06
O: 0.273 0.305 0.297  -0.06
O: 0.273 0.703 0.008  -0.06
O: 0.273 0.992 0.695  -0.06

Values from the calculation:
ΔE_f (raw), eV/atom: -2.339

Below is a relaxed Sb2TeOs crystal, with properties calculated at the PBE-GGA level.

abc: 4.996 4.997 4.997
angles: 70.51 70.53 109.47
Sites, in units of the cell vectors:
Os: 0.500 0.000 0.500
Sb: 0.000 0.000 0.000
Sb: 0.000 0.500 0.500
Te: 0.500 0.500 0.000

Values from the calculation:
ΔE_f (raw), eV/atom: 0.659